# PuHfSb2 (PBE, relaxed)
data_PuHfSb2
_cell_length_a 3.5285
_cell_length_b 3.5285
_cell_length_c 7.8398
_cell_angle_alpha 90.00
_cell_angle_beta 90.00
_cell_angle_gamma 90.00
_space_group_name_H-M_alt 'P 4/m m m'
_space_group_IT_number 123
_space_group_name_Hall '-P 4 2'
loop_
_atom_site_label
_atom_site_fract_x
_atom_site_fract_y
_atom_site_fract_z
Pu1 0.0000 0.0000 0.0000
Hf1 0.0000 0.0000 0.5000
Sb1 0.5000 0.5000 0.2729
# Fermi-level density of states, states/eV/f.u.: 7.6
# Uncorrected formation energy, kJ/mol of atoms: -41
# Magnetization, μB/f.u.: 6.0



# PuHfSb (PBE, relaxed)
data_PuHfSb
_cell_length_a 4.9946
_cell_length_b 4.9946
_cell_length_c 3.4922
_cell_angle_alpha 90.00
_cell_angle_beta 90.00
_cell_angle_gamma 120.00
_space_group_name_H-M_alt 'P -6 m 2'
_space_group_IT_number 187
_space_group_name_Hall 'P -6 2'
loop_
_atom_site_label
_atom_site_fract_x
_atom_site_fract_y
_atom_site_fract_z
Pu1 0.0000 0.0000 0.0000
Hf1 0.3333 0.6667 0.5000
Sb1 0.6667 0.3333 0.5000
# Fermi-level density of states, states/eV/f.u.: 7.8
# Uncorrected formation energy, kJ/mol of atoms: -10
# Magnetization, μB/f.u.: 5.8



# Pu2HfScSb4 (PBE, relaxed)
data_Pu2HfScSb4
_cell_length_a 7.4103
_cell_length_b 4.2705
_cell_length_c 7.4169
_cell_angle_alpha 90.00
_cell_angle_beta 109.35
_cell_angle_gamma 90.00
_space_group_name_H-M_alt 'P 1 2/m 1'
_space_group_IT_number 10
_space_group_name_Hall '-P 2y'
loop_
_atom_site_label
_atom_site_fract_x
_atom_site_fract_y
_atom_site_fract_z
Pu1 0.0000 0.0000 0.0000
Pu2 0.5000 0.5000 0.0000
Hf1 0.0000 0.5000 0.5000
Sc1 0.5000 0.0000 0.5000
Sb1 0.2419 0.0000 0.7306
Sb2 0.2543 0.5000 0.2689
# Fermi-level density of states, states/eV/f.u.: 25.2
# Uncorrected formation energy, kJ/mol of atoms: -65
# Magnetization, μB/f.u.: 10.7



# PuHfSc2Sb4 (PBE, relaxed)
data_PuHfSc2Sb4
_cell_length_a 7.2719
_cell_length_b 4.2090
_cell_length_c 7.3058
_cell_angle_alpha 90.00
_cell_angle_beta 109.23
_cell_angle_gamma 90.00
_space_group_name_H-M_alt 'P 1 2/m 1'
_space_group_IT_number 10
_space_group_name_Hall '-P 2y'
loop_
_atom_site_label
_atom_site_fract_x
_atom_site_fract_y
_atom_site_fract_z
Pu1 0.0000 0.0000 0.0000
Hf1 0.0000 0.5000 0.5000
Sc1 0.5000 0.0000 0.5000
Sc2 0.5000 0.5000 0.0000
Sb1 0.2531 0.0000 0.7414
Sb2 0.2605 0.5000 0.2636
# Fermi-level density of states, states/eV/f.u.: 14.8
# Uncorrected formation energy, kJ/mol of atoms: -70
# Magnetization, μB/f.u.: 5.4



# Sm2PuHfSb4 (PBE, relaxed)
data_Sm2PuHfSb4
_cell_length_a 7.5475
_cell_length_b 4.3540
_cell_length_c 7.5548
_cell_angle_alpha 90.00
_cell_angle_beta 109.17
_cell_angle_gamma 90.00
_space_group_name_H-M_alt 'P 1 2/m 1'
_space_group_IT_number 10
_space_group_name_Hall '-P 2y'
loop_
_atom_site_label
_atom_site_fract_x
_atom_site_fract_y
_atom_site_fract_z
Sm1 0.0000 0.0000 0.0000
Sm2 0.5000 0.5000 0.0000
Pu1 0.0000 0.5000 0.5000
Hf1 0.5000 0.0000 0.5000
Sb1 0.2564 0.0000 0.7386
Sb2 0.2657 0.5000 0.2680
# Fermi-level density of states, states/eV/f.u.: 15.1
# Uncorrected formation energy, kJ/mol of atoms: -81
# Magnetization, μB/f.u.: 5.4



# TbPu2HfSb4 (PBE, relaxed)
data_TbPu2HfSb4
_cell_length_a 7.5106
_cell_length_b 4.3282
_cell_length_c 7.5242
_cell_angle_alpha 90.00
_cell_angle_beta 109.28
_cell_angle_gamma 90.00
_space_group_name_H-M_alt 'P 1 2/m 1'
_space_group_IT_number 10
_space_group_name_Hall '-P 2y'
loop_
_atom_site_label
_atom_site_fract_x
_atom_site_fract_y
_atom_site_fract_z
Tb1 0.0000 0.0000 0.0000
Pu1 0.5000 0.0000 0.5000
Pu2 0.5000 0.5000 0.0000
Hf1 0.0000 0.5000 0.5000
Sb1 0.2349 0.0000 0.7350
Sb2 0.2417 0.5000 0.2577
# Fermi-level density of states, states/eV/f.u.: 25.4
# Uncorrected formation energy, kJ/mol of atoms: -69
# Magnetization, μB/f.u.: 10.8



- uncorrected formation energy of number 4 (PuHfSc2Sb4)?
  -70 kJ/mol of atoms



- Which value of Fermi-level density of states does entry 5 give?
  15.1 states/eV/f.u.



What did the first record say?
# PuHfSb2 (PBE, relaxed)
data_PuHfSb2
_cell_length_a 3.5285
_cell_length_b 3.5285
_cell_length_c 7.8398
_cell_angle_alpha 90.00
_cell_angle_beta 90.00
_cell_angle_gamma 90.00
_space_group_name_H-M_alt 'P 4/m m m'
_space_group_IT_number 123
_space_group_name_Hall '-P 4 2'
loop_
_atom_site_label
_atom_site_fract_x
_atom_site_fract_y
_atom_site_fract_z
Pu1 0.0000 0.0000 0.0000
Hf1 0.0000 0.0000 0.5000
Sb1 0.5000 0.5000 0.2729
# Fermi-level density of states, states/eV/f.u.: 7.6
# Uncorrected formation energy, kJ/mol of atoms: -41
# Magnetization, μB/f.u.: 6.0